[1]
{"formula": "SrCr3S", "functional": "SCAN", "state": "single point on PBEsol structure", "lattice": [[-2.798, 3.367, -0.454], [-1.948, -1.108, 3.788], [2.784, 2.609, 2.195]], "species": ["Sr", "S", "Cr", "Cr", "Cr"], "frac_coords": [[0.500, 0.500, 0.500], [0.000, 0.000, 0.000], [0.000, 0.500, 0.000], [0.000, 0.000, 0.500], [0.500, 0.000, 0.000]], "formation_energy_uncorrected_ev_per_atom": 0.40, "dft_energy_ha_per_atom": -0.62534, "relative_energy_mev_per_atom": 0.0, "rho_g_cm3": 5.368, "m_tot_mub_per_fu": 6.923}


[2]
{"formula": "Sn2Pb2N", "functional": "SCAN", "state": "single point on PBEsol structure", "lattice": [[4.301, 0.000, 0.000], [0.000, 4.301, 0.000], [-2.151, -2.151, 7.655]], "species": ["Pb", "Pb", "Sn", "Sn", "N"], "frac_coords": [[0.250, 0.750, 0.500], [0.750, 0.250, 0.500], [0.408, 0.408, 0.815], [0.592, 0.592, 0.185], [0.000, 0.000, 0.000]], "formation_energy_uncorrected_ev_per_atom": 1.11, "dft_energy_ha_per_atom": -1.66945, "rho_g_cm3": 7.806, "m_tot_mub_per_fu": 1.906}